[1]
VASP calculation (PBE) on PuThPS after structural relaxation.

Cell lengths 4.941, 4.941, 4.941 Å; angles 60.00, 60.00, 60.00 degrees
Each line ends with the local moment (μB).
Fractional coordinates of all 4 atoms:
1 P 0.694 0.694 0.918  -0.07
2 S 0.194 0.194 0.418  -0.06
3 Pu 0.944 0.944 0.168  5.45
4 Th 0.444 0.444 0.668  0.40

Summary:
- E_form (uncorrected): -1.2863 eV per atom
- Density of states at the Fermi level: 5.09 states/eV/f.u.
- Space-group type: F-43m, No. 216

---

[2]
VASP calculation (PBE) on TmPuPS after structural relaxation.

Cell lengths 3.959, 3.959, 6.793 Å; angles 73.06, 73.06, 60.00 degrees
Each line ends with the local moment (μB).
Fractional coordinates of all 4 atoms:
1 P 0.943 0.943 0.172  -0.07
2 Pu 0.693 0.693 0.921  5.19
3 S 0.446 0.446 0.663  -0.06
4 Tm 0.195 0.195 0.414  0.03

Summary:
- E_form (uncorrected): -1.6753 eV per atom
- Density of states at the Fermi level: 8.13 states/eV/f.u.
- Space-group type: R3m, No. 160

---

[3]
VASP calculation (PBE) on PuUPS after structural relaxation.

Cell lengths 4.807, 4.807, 4.808 Å; angles 60.01, 60.01, 60.00 degrees
Each line ends with the local moment (μB).
Fractional coordinates of all 4 atoms:
1 S 0.194 0.194 0.418  -0.11
2 U 0.444 0.444 0.668  2.65
3 Pu 0.944 0.944 0.168  5.46
4 P 0.694 0.694 0.918  -0.13

Summary:
- E_form (uncorrected): -1.0854 eV per atom
- Density of states at the Fermi level: 4.34 states/eV/f.u.
- Space-group type: F-43m, No. 216

---

[4]
VASP calculation (PBE) on YPuPS after structural relaxation.

Cell lengths 3.994, 3.994, 6.851 Å; angles 73.05, 73.05, 60.00 degrees
Each line ends with the local moment (μB).
Fractional coordinates of all 4 atoms:
1 S 0.194 0.194 0.417  -0.07
2 P 0.694 0.694 0.919  -0.08
3 Pu 0.945 0.945 0.164  5.19
4 Y 0.443 0.443 0.671  0.04

Summary:
- E_form (uncorrected): -1.6950 eV per atom
- Density of states at the Fermi level: 8.25 states/eV/f.u.
- Space-group type: R3m, No. 160

---

[5]
VASP calculation (PBE) on PuZnPS after structural relaxation.

Cell lengths 4.187, 4.187, 11.143 Å; angles 79.17, 79.17, 60.00 degrees
Each line ends with the local moment (μB).
Fractional coordinates of all 8 atoms:
1 P 0.382 0.382 0.854  -0.06
2 P 0.618 0.618 0.146  -0.06
3 S 0.198 0.198 0.406  -0.16
4 S 0.802 0.802 0.594  -0.16
5 Zn 0.305 0.305 0.085  0.01
6 Zn 0.695 0.695 0.915  0.01
7 Pu 0.897 0.897 0.308  5.03
8 Pu 0.103 0.103 0.692  5.03

Summary:
- E_form (uncorrected): -0.9180 eV per atom
- Density of states at the Fermi level: 6.90 states/eV/f.u.
- Space-group type: R-3m, No. 166

---

[6]
VASP calculation (PBE) on PuSbP2 after structural relaxation.

Cell lengths 4.002, 4.002, 8.344 Å; angles 76.13, 76.13, 60.00 degrees
Each line ends with the local moment (μB).
Fractional coordinates of all 4 atoms:
1 P 0.108 0.108 0.677  -0.13
2 P 0.892 0.892 0.323  -0.13
3 Sb 0.000 0.000 0.000  0.01
4 Pu 0.500 0.500 0.500  4.58

Summary:
- E_form (uncorrected): -0.0407 eV per atom
- Density of states at the Fermi level: 10.72 states/eV/f.u.
- Space-group type: R-3m, No. 166

---

[7]
VASP calculation (PBE) on Pu3Sb2P after structural relaxation.

Cell lengths 7.351, 7.437, 7.437 Å; angles 119.71, 99.62, 99.62 degrees
Each line ends with the local moment (μB).
Fractional coordinates of all 12 atoms:
1 Pu 0.007 0.210 0.359  5.16
2 Pu 0.507 0.359 0.210  5.16
3 Pu 0.000 0.500 0.000  -5.17
4 Pu 0.500 0.000 0.500  -5.17
5 Pu 0.993 0.790 0.641  5.16
6 Pu 0.493 0.641 0.790  5.16
7 P 0.250 0.590 0.410  -0.06
8 P 0.750 0.410 0.590  -0.06
9 Sb 0.250 0.919 0.081  -0.03
10 Sb 0.750 0.081 0.919  -0.03
11 Sb 0.750 0.762 0.238  -0.04
12 Sb 0.250 0.238 0.762  -0.04

Summary:
- E_form (uncorrected): -0.7048 eV per atom
- Density of states at the Fermi level: 33.54 states/eV/f.u.
- Space-group type: C2/c, No. 15

---

[8]
VASP calculation (PBE) on PuSbP after structural relaxation.

Cell lengths 4.037, 4.558, 4.558 Å; angles 120.00, 90.00, 90.00 degrees
Each line ends with the local moment (μB).
Fractional coordinates of all 3 atoms:
1 Pu 0.168 0.333 0.667  4.86
2 P 0.164 0.000 0.000  -0.08
3 Sb 0.667 0.667 0.333  -0.03

Summary:
- E_form (uncorrected): -0.2722 eV per atom
- Density of states at the Fermi level: 7.74 states/eV/f.u.
- Space-group type: P3m1, No. 156

---

[9]
VASP calculation (PBE) on PuSbP2 after structural relaxation.

Cell lengths 3.725, 4.598, 4.598 Å; angles 90.00, 90.00, 90.00 degrees
Each line ends with the local moment (μB).
Fractional coordinates of all 4 atoms:
1 Sb 0.500 0.500 0.500  0.01
2 P 0.000 0.000 0.500  0.12
3 P 0.000 0.500 0.000  0.12
4 Pu 0.500 0.000 0.000  -4.86

Summary:
- E_form (uncorrected): -0.3763 eV per atom
- Density of states at the Fermi level: 8.22 states/eV/f.u.
- Space-group type: P4/mmm, No. 123

---

[10]
VASP calculation (PBE) on Pu3SbP after structural relaxation.

Cell lengths 4.339, 6.518, 9.450 Å; angles 90.00, 90.00, 90.00 degrees
Each line ends with the local moment (μB).
Fractional coordinates of all 10 atoms:
1 Pu 0.750 0.989 0.665  5.57
2 Pu 0.750 0.511 0.665  5.57
3 Pu 0.250 0.489 0.335  5.57
4 Pu 0.250 0.011 0.335  5.57
5 Pu 0.750 0.750 0.099  5.59
6 Pu 0.250 0.250 0.901  5.59
7 Sb 0.750 0.250 0.138  -0.12
8 Sb 0.250 0.750 0.862  -0.12
9 P 0.750 0.750 0.412  -0.15
10 P 0.250 0.250 0.588  -0.15

Summary:
- E_form (uncorrected): -0.7136 eV per atom
- Density of states at the Fermi level: 21.59 states/eV/f.u.
- Space-group type: Pmmn, No. 59

---

[11]
VASP calculation (PBE) on Pu6Sb3P after structural relaxation.

Cell lengths 10.697, 5.286, 5.286 Å; angles 73.10, 67.51, 67.51 degrees
Each line ends with the local moment (μB).
Fractional coordinates of all 10 atoms:
1 Sb 0.834 0.791 0.791  0.01
2 Sb 0.000 0.000 0.000  0.03
3 Sb 0.166 0.209 0.209  0.01
4 Pu 0.834 0.419 0.419  -4.40
5 Pu 0.662 0.913 0.399  5.08
6 Pu 0.166 0.581 0.581  -4.40
7 Pu 0.338 0.087 0.601  5.08
8 Pu 0.662 0.399 0.913  5.08
9 Pu 0.338 0.601 0.087  5.08
10 P 0.500 0.500 0.500  -0.09

Summary:
- E_form (uncorrected): -0.2930 eV per atom
- Density of states at the Fermi level: 30.92 states/eV/f.u.
- Space-group type: C2/m, No. 12

---

[12]
VASP calculation (PBE) on Pu4SbPSe2 after structural relaxation.

Cell lengths 4.176, 7.240, 7.298 Å; angles 70.33, 90.00, 90.00 degrees
Each line ends with the local moment (μB).
Fractional coordinates of all 8 atoms:
1 Se 0.000 0.000 0.000  -0.05
2 Se 0.500 0.000 0.500  0.04
3 P 0.000 0.500 0.500  -0.06
4 Sb 0.500 0.500 0.000  0.04
5 Pu 0.500 0.743 0.266  5.18
6 Pu 0.000 0.756 0.732  -5.19
7 Pu 0.000 0.244 0.268  -5.19
8 Pu 0.500 0.257 0.734  5.18

Summary:
- E_form (uncorrected): -1.1376 eV per atom
- Density of states at the Fermi level: 44.77 states/eV/f.u.
- Space-group type: P2/m, No. 10

---

[13]
VASP calculation (PBE) on Sr2Pu2Sb2P after structural relaxation.

Cell lengths 5.255, 5.255, 9.301 Å; angles 106.41, 106.41, 90.00 degrees
Each line ends with the local moment (μB).
Fractional coordinates of all 7 atoms:
1 Sb 0.373 0.373 0.747  -0.07
2 Sb 0.627 0.627 0.253  -0.07
3 Sr 0.176 0.176 0.352  0.02
4 Sr 0.824 0.824 0.648  0.02
5 P 0.000 0.000 0.000  -0.15
6 Pu 0.000 0.500 0.000  5.29
7 Pu 0.500 0.000 0.000  5.29

Summary:
- E_form (uncorrected): -0.8524 eV per atom
- Density of states at the Fermi level: 16.16 states/eV/f.u.
- Space-group type: I4/mmm, No. 139

---

[14]
VASP calculation (PBE) on Pu2ScP3 after structural relaxation.

Cell lengths 3.919, 5.549, 6.773 Å; angles 114.18, 106.82, 90.00 degrees
Each line ends with the local moment (μB).
Fractional coordinates of all 6 atoms:
1 Sc 0.500 0.500 0.500  0.02
2 Pu 0.167 0.167 0.834  4.88
3 Pu 0.833 0.833 0.166  4.88
4 P 0.500 0.000 0.500  -0.13
5 P 0.838 0.338 0.176  -0.12
6 P 0.162 0.662 0.824  -0.12

Summary:
- Calculated formation energy: -1249 meV/atom
- Density of states at the Fermi level: 16.10 states/eV/f.u.
- Space-group type: Immm, No. 71

---

[15]
VASP calculation (PBE) on Pu5ScP6 after structural relaxation.

Cell lengths 6.847, 6.849, 6.844 Å; angles 59.98, 80.37, 70.48 degrees
Each line ends with the local moment (μB).
Fractional coordinates of all 12 atoms:
1 Pu 0.000 0.665 0.669  4.86
2 Pu 0.500 0.500 0.000  -4.93
3 Pu 0.500 0.167 0.665  4.89
4 Pu 0.000 0.335 0.331  4.86
5 Pu 0.500 0.833 0.335  4.89
6 P 0.244 0.590 0.331  -0.08
7 P 0.246 0.244 0.000  -0.10
8 P 0.756 0.079 0.331  -0.08
9 P 0.244 0.921 0.669  -0.08
10 P 0.756 0.410 0.669  -0.08
11 P 0.754 0.756 0.000  -0.10
12 Sc 0.000 0.000 0.000  -0.03

Summary:
- Calculated formation energy: -1168 meV/atom
- Density of states at the Fermi level: 45.37 states/eV/f.u.
- Space-group type: C2/m, No. 12

---

[16]
VASP calculation (PBE) on PuSc4P5 after structural relaxation.

Cell lengths 3.805, 5.376, 10.053 Å; angles 105.51, 100.91, 90.00 degrees
Each line ends with the local moment (μB).
Fractional coordinates of all 10 atoms:
1 P 0.800 0.300 0.600  -0.01
2 P 0.200 0.700 0.400  -0.01
3 P 0.396 0.896 0.792  -0.07
4 P 0.000 0.500 0.000  -0.08
5 P 0.604 0.104 0.208  -0.07
6 Sc 0.603 0.603 0.206  0.03
7 Sc 0.397 0.397 0.794  0.03
8 Sc 0.203 0.203 0.406  0.01
9 Sc 0.797 0.797 0.594  0.01
10 Pu 0.000 0.000 0.000  4.75

Summary:
- Calculated formation energy: -1408 meV/atom
- Density of states at the Fermi level: 10.58 states/eV/f.u.
- Space-group type: Immm, No. 71

---

[17]
VASP calculation (PBE) on PuScP2 after structural relaxation.

Cell lengths 3.883, 3.883, 6.806 Å; angles 73.42, 73.42, 60.00 degrees
Each line ends with the local moment (μB).
Fractional coordinates of all 4 atoms:
1 Sc 0.497 0.497 0.508  0.03
2 P 0.247 0.247 0.258  -0.12
3 P 0.086 0.086 0.743  -0.10
4 Pu 0.670 0.670 0.991  4.93

Summary:
- Calculated formation energy: -1158 meV/atom
- Density of states at the Fermi level: 7.79 states/eV/f.u.
- Space-group type: R3m, No. 160

---

[18]
VASP calculation (PBE) on PuScP2 after structural relaxation.

Cell lengths 3.896, 3.896, 6.641 Å; angles 72.94, 72.94, 60.00 degrees
Each line ends with the local moment (μB).
Fractional coordinates of all 4 atoms:
1 P 0.747 0.747 0.760  -0.10
2 P 0.253 0.253 0.240  -0.10
3 Pu 0.500 0.500 0.500  4.89
4 Sc 0.000 0.000 0.000  0.01

Summary:
- Calculated formation energy: -1315 meV/atom
- Density of states at the Fermi level: 8.43 states/eV/f.u.
- Space-group type: R-3m, No. 166

---

[19]
VASP calculation (PBE) on PuScP2 after structural relaxation.

Cell lengths 3.828, 3.828, 6.745 Å; angles 90.00, 90.00, 120.00 degrees
Each line ends with the local moment (μB).
Fractional coordinates of all 4 atoms:
1 P 0.333 0.167 0.237  -0.12
2 P 0.667 0.833 0.763  -0.12
3 Pu 0.000 0.500 0.500  4.97
4 Sc 0.000 0.500 0.000  0.07

Summary:
- Calculated formation energy: -1109 meV/atom
- Density of states at the Fermi level: 10.67 states/eV/f.u.
- Space-group type: P-3m1, No. 164

---

[20]
VASP calculation (PBE) on PuScPSe after structural relaxation.

Cell lengths 3.940, 3.940, 6.863 Å; angles 73.32, 73.32, 60.00 degrees
Each line ends with the local moment (μB).
Fractional coordinates of all 4 atoms:
1 Se 0.755 0.755 0.734  -0.05
2 Sc 0.506 0.506 0.483  0.06
3 Pu 0.994 0.994 0.018  5.22
4 P 0.245 0.245 0.266  -0.07

Summary:
- E_form (uncorrected): -1.4984 eV per atom
- Density of states at the Fermi level: 9.64 states/eV/f.u.
- Space-group type: R3m, No. 160